[1]
Crystalline Ca3In6Ag5 at its relaxed geometry, computed with PBE.

Output
M_tot = 0.000 μB/atom
SG = Pmmn, No. 59
ΔE_f = -0.2903 eV per atom

Unit cell a=4.632 b=13.754 c=10.534 alpha=90.00 beta=90.00 gamma=90.00
Element x y z (fractional)
1 Ca 0.250 0.048 0.244
2 Ca 0.250 0.452 0.244
3 Ca 0.250 0.750 0.259
4 Ca 0.750 0.250 0.741
5 Ca 0.750 0.548 0.756
6 Ca 0.750 0.952 0.756
7 In 0.250 0.072 0.585
8 In 0.250 0.250 0.035
9 In 0.250 0.250 0.402
10 In 0.250 0.428 0.585
11 In 0.250 0.594 0.984
12 In 0.250 0.906 0.984
13 In 0.750 0.094 0.016
14 In 0.750 0.406 0.016
15 In 0.750 0.572 0.415
16 In 0.750 0.750 0.598
17 In 0.750 0.750 0.965
18 In 0.750 0.928 0.415
19 Ag 0.250 0.096 0.849
20 Ag 0.250 0.404 0.849
21 Ag 0.250 0.637 0.547
22 Ag 0.250 0.750 0.789
23 Ag 0.250 0.863 0.547
24 Ag 0.750 0.137 0.453
25 Ag 0.750 0.250 0.211
26 Ag 0.750 0.363 0.453
27 Ag 0.750 0.596 0.151
28 Ag 0.750 0.904 0.151

=====

[2]
Crystalline La2ZrCo at its relaxed geometry, computed with PBE.

Output
M_tot = 0.000 μB/atom
SG = I-42d, No. 122
ΔE_f = 0.3012 eV per atom

Unit cell a=6.580 b=6.580 c=6.580 alpha=102.56 beta=102.56 gamma=124.40
Element x y z (fractional)
1 La 0.058 0.625 0.933
2 La 0.375 0.308 0.433
3 La 0.692 0.125 0.067
4 La 0.875 0.942 0.567
5 Zr 0.250 0.750 0.500
6 Zr 0.500 0.500 0.000
7 Co 0.000 0.000 0.000
8 Co 0.750 0.250 0.500